Computed, not measured: an optimized crystal structure of CsSe3I at the PBE level of DFT.

Properties
**Energy relative to the lowest polymorph listed for this composition**: 98.81 kJ/mol of atoms
**Crystal system**: cubic
**SG**: Pm-3m, No. 221

```
5
Lattice="6.075 0.000 0.000 0.000 6.075 0.000 0.000 0.000 6.075" Properties=species:S:1:pos:R:3 pbc="T T T"
Cs 0.000 0.000 0.000
Se 0.000 3.038 0.000
Se 0.000 0.000 3.038
Se 3.038 0.000 0.000
I 3.038 3.038 3.038
```


Computed, not measured: an optimized crystal structure of CsSeI2 at the PBE level of DFT.

Properties
**Energy relative to the lowest polymorph listed for this composition**: 20.17 kJ/mol of atoms
**Crystal system**: trigonal
**SG**: R-3m, No. 166

```
4
Lattice="5.704 0.000 0.000 2.852 4.940 0.000 2.852 1.647 6.161" Properties=species:S:1:pos:R:3 pbc="T T T"
Se 5.704 3.293 3.080
I 8.557 4.940 3.788
I 2.852 1.647 2.372
Cs 0.000 0.000 0.000
```


Computed, not measured: an optimized crystal structure of Cs3SeI6 at the PBE level of DFT.

Properties
**Energy relative to the lowest polymorph listed for this composition**: 4.11 kJ/mol of atoms
**Crystal system**: tetragonal
**SG**: I4/mmm, No. 139

```
10
Lattice="-5.495 5.146 5.537 -7.541 -3.252 -4.462 -6.880 -3.896 4.679" Properties=species:S:1:pos:R:3 pbc="T T T"
I -9.500 1.380 0.784
I -3.536 0.514 0.292
I -6.676 -1.166 2.345
I -13.240 -0.835 3.410
I -6.986 -0.974 -1.749
I -6.050 2.868 2.825
Cs -9.446 1.098 5.377
Cs -10.469 -3.100 0.378
Cs 0.000 0.000 0.000
Se -6.518 0.947 0.538
```


Computed, not measured: an optimized crystal structure of Cs2SeI2 at the PBE level of DFT.

Properties
**Energy relative to the lowest polymorph listed for this composition**: 0.00 kJ/mol of atoms
**Crystal system**: tetragonal
**SG**: I4/mmm, No. 139

```
5
Lattice="7.472 0.000 0.000 0.000 7.472 0.000 3.736 3.736 4.805" Properties=species:S:1:pos:R:3 pbc="T T T"
I 3.736 3.736 1.933
I 7.472 7.472 2.872
Se 0.000 0.000 0.000
Cs 3.736 7.472 2.402
Cs 7.472 3.736 2.402
```


Computed, not measured: an optimized crystal structure of Cs4SeI2 at the PBE level of DFT.

Properties
**Energy relative to the lowest polymorph listed for this composition**: 5.33 kJ/mol of atoms
**Crystal system**: tetragonal
**SG**: I4/mmm, No. 139

```
7
Lattice="6.830 0.000 0.000 0.000 6.830 0.000 3.415 3.415 9.978" Properties=species:S:1:pos:R:3 pbc="T T T"
Cs 3.415 3.415 6.586
Cs 0.000 3.415 0.000
Cs 3.415 0.000 0.000
Cs 6.830 6.830 3.392
Se 0.000 0.000 0.000
I 6.830 6.830 7.238
I 3.415 3.415 2.740
```


Computed, not measured: an optimized crystal structure of CsSeI2 at the PBE level of DFT.

Properties
**Energy relative to the lowest polymorph listed for this composition**: 0.00 kJ/mol of atoms
**Crystal system**: tetragonal
**SG**: I-42d, No. 122

```
8
Lattice="-2.158 6.669 -0.446 -1.886 -1.057 -6.683 -10.404 0.278 -0.799" Properties=species:S:1:pos:R:3 pbc="T T T"
Cs -7.292 4.877 -2.404
Cs 0.000 0.000 0.000
I -3.889 3.188 -1.252
I -9.579 2.168 -4.191
I -11.082 5.264 -5.917
I -4.346 1.160 -4.493
Se -7.156 1.014 -5.523
Se -2.022 2.806 -3.564
```


Computed, not measured: an optimized crystal structure of CsSe3I at the PBE level of DFT.

Properties
**Energy relative to the lowest polymorph listed for this composition**: 0.00 kJ/mol of atoms
**Crystal system**: cubic
**SG**: Pm-3m, No. 221

```
5
Lattice="-4.833 0.891 -2.659 -2.782 -2.192 4.322 -0.354 5.062 2.340" Properties=species:S:1:pos:R:3 pbc="T T T"
Se -2.417 0.446 -1.329
Se -1.391 -1.096 2.161
Se -0.177 2.531 1.170
Cs -3.985 1.881 2.001
I 0.000 0.000 0.000
```


Computed, not measured: an optimized crystal structure of CsSeI3 at the PBE level of DFT.

Properties
**Crystal system**: orthorhombic
**SG**: Cmcm, No. 63

```
10
Lattice="8.669 1.138 0.000 4.232 7.652 0.000 0.000 0.000 7.857" Properties=species:S:1:pos:R:3 pbc="T T T"
Se 11.084 8.518 0.412
Se 10.764 8.299 4.340
Cs 1.421 1.932 0.412
Cs 7.526 6.095 4.340
I 3.388 5.608 2.376
I 1.737 2.149 4.340
I 7.210 5.878 0.412
I 3.388 5.608 6.304
I 5.559 2.419 2.376
I 5.559 2.419 6.304
```


Computed, not measured: an optimized crystal structure of CsSeI4 at the PBE level of DFT.

Properties
**Energy relative to the lowest polymorph listed for this composition**: 0.28 kJ/mol of atoms
**Crystal system**: monoclinic
**SG**: P2_1/m, No. 11

```
12
Lattice="7.748 -1.206 0.000 -5.407 8.694 0.000 0.000 0.000 11.815" Properties=species:S:1:pos:R:3 pbc="T T T"
I 1.795 1.497 8.862
I 0.146 6.513 8.862
I 5.682 2.088 6.813
I 2.195 0.975 2.954
I 0.546 5.991 2.954
I -3.341 5.400 0.906
I -3.341 5.400 5.002
I 5.682 2.088 10.910
Se 6.830 0.213 8.862
Se -4.489 7.275 2.954
Cs -1.502 2.489 2.954
Cs 3.843 4.999 8.862
```


Computed, not measured: an optimized crystal structure of CsSeI2 at the PBE level of DFT.

Properties
**Energy relative to the lowest polymorph listed for this composition**: 25.93 kJ/mol of atoms
**Crystal system**: cubic
**SG**: Fm-3m, No. 225

```
4
Lattice="0.000 4.398 4.398 4.398 0.000 4.398 4.398 4.398 0.000" Properties=species:S:1:pos:R:3 pbc="T T T"
Cs 4.398 4.398 4.398
I 2.199 2.199 2.199
I 6.597 6.597 6.597
Se 0.000 0.000 0.000
```


Computed, not measured: an optimized crystal structure of Cs2SeI7 at the PBE level of DFT.

Properties
**Crystal system**: tetragonal
**SG**: I4/mmm, No. 139

```
10
Lattice="8.619 0.000 0.000 0.000 8.619 0.000 4.309 4.309 6.534" Properties=species:S:1:pos:R:3 pbc="T T T"
I 2.242 6.377 0.000
I 6.377 6.377 0.000
I 0.000 0.000 0.000
I 2.242 2.242 0.000
I 4.309 4.309 2.848
I 8.619 8.619 3.686
I 6.377 2.242 0.000
Se 4.309 4.309 0.000
Cs 4.309 8.619 3.267
Cs 8.619 4.309 3.267
```


Computed, not measured: an optimized crystal structure of Cs2Se4I5 at the PBE level of DFT.

Properties
**Crystal system**: monoclinic
**SG**: C2/m, No. 12

```
11
Lattice="-2.474 -8.327 -2.849 4.292 -6.622 0.959 -10.065 -4.348 6.780" Properties=species:S:1:pos:R:3 pbc="T T T"
Cs -6.650 -9.929 5.456
Cs -1.597 -9.369 -0.566
I 1.749 -8.040 1.377
I -9.996 -11.258 3.513
I -2.887 -5.485 3.870
I 0.275 -12.999 -0.319
I -8.523 -6.299 5.209
Se -5.869 -15.006 4.950
Se -7.053 -14.076 3.259
Se -1.194 -5.222 1.631
Se -2.378 -4.292 -0.060
```


no.,total DFT energy (no corrections) (eV for the cell shown)
1,-7.6
2,-8.6
3,-23.1
4,-13.2
5,-18.8
6,-18.8
7,-12.7
8,-23.2
9,-26.4
10,-8.3
11,-22.2
12,-28.8